# NdGaCu2Sn

NdGaCu2Sn after structural relaxation (PBE, OQMD via LeMat-Bulk).

abc: 4.342 4.342 10.373
angles: 90.00 90.00 90.00
Element x y z (fractional)
Cu (0.500, 0.000, 0.385)
Nd (0.000, 0.500, 0.259)
Sn (0.000, 0.500, 0.861)
Ga (0.500, 0.500, 0.500)
Ga (0.000, 0.000, 0.500)
Cu (0.500, 0.500, 0.000)
Nd (0.500, 0.000, 0.741)
Cu (0.000, 0.500, 0.615)
Sn (0.500, 0.000, 0.139)
Cu (0.000, 0.000, 0.000)

## Properties
As for the magnetic moment: 0.0 μB per cell. The value obtained for the calculated volume is 196 Å³/cell. The calculation puts the energy at -4.30 eV/atom.